[1]
Computed, not measured: a PBEsol-optimized structure of AgMoW at the SCAN level of DFT.

```
3
Lattice="2.588 0.000 0.000 0.000 4.312 0.000 -1.294 -2.156 4.223" Properties=species:S:1:pos:R:3 pbc="T T T"
W 0.000 0.000 2.814
Mo 1.294 2.156 1.409
Ag 0.000 0.000 0.000
```

Calculated values
spin magnetization = 0.0 μB per cell
energy relative to the elements = 1.667 eV/f.u.
energy above the lowest structure with this stoichiometry = 0.028 eV per atom

---

[2]
Computed, not measured: a PBEsol-optimized structure of SrLaTiFeO6 at the SCAN level of DFT.

```
10
Lattice="5.399 0.000 0.000 2.699 4.675 0.000 2.699 1.558 4.408" Properties=species:S:1:pos:R:3 pbc="T T T"
Ti 2.699 1.558 1.102
La 5.399 3.117 2.204
O 6.768 5.443 2.220
O 9.428 3.908 4.392
O 9.428 5.443 2.220
O 6.768 3.908 4.392
O 8.098 3.140 2.220
O 8.098 6.211 4.392
Sr 0.000 0.000 0.000
Fe 8.098 4.675 3.306
```

Calculated values
spin magnetization = 1.0 μB per cell
E_tot = -16.756 eV/atom

---

[3]
Computed, not measured: a PBEsol-optimized structure of MgCuW2 at the SCAN level of DFT.

```
4
Lattice="3.248 0.000 0.000 0.000 4.497 0.000 -1.624 -2.248 4.127" Properties=species:S:1:pos:R:3 pbc="T T T"
Cu 1.624 2.248 0.005
W 0.000 0.000 0.100
W 1.624 0.000 2.069
Mg 0.000 2.248 1.953
```

Calculated values
spin magnetization = 0.0 μB per cell
energy relative to the elements = 2.009 eV/f.u.

---

> spin magnetization of number 3 (MgCuW2)?

0.0 μB per cell

---

> Which value of spin magnetization does entry 3 give?

0.0 μB per cell

---

> Which value of spin magnetization does entry 2 give?

1.0 μB per cell